Model a:
An optimized crystal structure of Be5Pb3. Source: Alexandria via LeMat-Bulk, functional PBE-GGA.

Lattice parameters (Å, degrees): 6.5490 6.5490 4.0586 90.00 90.00 121.05
Sites, in units of the cell vectors:
1 Be 0.0000 0.0000 0.0000
2 Be 0.0000 0.5000 0.0000
3 Be 0.5000 0.0000 0.0000
4 Be 0.1608 0.1608 0.5000
5 Be 0.8392 0.8392 0.5000
6 Pb 0.5000 0.5000 0.0000
7 Pb 0.7762 0.2238 0.5000
8 Pb 0.2238 0.7762 0.5000

Summary:
**Total moment**: 0.00 μB/cell

Model b:
An optimized crystal structure of Be5Pb3. Source: Alexandria via LeMat-Bulk, functional PBE-GGA.

Lattice parameters (Å, degrees): 7.5176 7.1689 7.1830 76.06 73.86 119.38
Sites, in units of the cell vectors:
1 Pb 0.1969 0.2443 0.9991
2 Pb 0.8032 0.7548 0.0015
3 Pb 0.7090 0.2417 0.0001
4 Pb 0.2943 0.7589 0.0005
5 Pb 0.2789 0.2788 0.4410
6 Pb 0.7200 0.7204 0.5596
7 Be 0.3105 0.8111 0.3785
8 Be 0.6893 0.1895 0.6221
9 Be 0.9659 0.5936 0.3961
10 Be 0.0342 0.4070 0.6037
11 Be 0.3133 0.6458 0.6545
12 Be 0.6858 0.3541 0.3465
13 Be 0.0319 0.7011 0.6543
14 Be 0.9674 0.2992 0.3460
15 Be 0.6372 0.0098 0.3968
16 Be 0.3622 0.9901 0.6044

Summary:
**Total moment**: 0.00 μB/cell

Result of the stability comparison: model b is the most stable of them.

Model a:
An optimized crystal structure of Be5Pb. Source: Alexandria via LeMat-Bulk, functional PBE-GGA.

Lattice parameters (Å, degrees): 2.7753 2.7753 10.0367 90.00 90.00 90.00
Sites, in units of the cell vectors:
1 Be 0.0000 0.0000 0.7309
2 Be 0.0000 0.0000 0.2691
3 Be 0.5000 0.5000 0.6188
4 Be 0.5000 0.5000 0.3812
5 Be 0.0000 0.0000 0.5000
6 Pb 0.5000 0.5000 0.0000

Summary:
**Total moment**: 0.00 μB/cell

Model b:
An optimized crystal structure of Be5Pb. Source: Alexandria via LeMat-Bulk, functional PBE-GGA.

Lattice parameters (Å, degrees): 6.1940 6.1940 6.1940 146.03 141.14 52.56
Sites, in units of the cell vectors:
1 Be 0.7705 0.0156 0.7550
2 Be 0.9240 0.4240 0.5000
3 Be 0.5087 0.5087 0.0000
4 Be 0.0992 0.5992 0.5000
5 Be 0.2606 0.0156 0.2450
6 Pb 0.2693 0.2693 0.0000

Summary:
**Total moment**: 0.00 μB/cell

Model c:
An optimized crystal structure of Be5Pb. Source: Alexandria via LeMat-Bulk, functional PBE-GGA.

Lattice parameters (Å, degrees): 4.6881 4.6881 4.6881 60.00 60.00 60.00
Sites, in units of the cell vectors:
1 Be 0.2500 0.2500 0.2500
2 Be 0.6209 0.6209 0.6209
3 Be 0.6209 0.6209 0.1372
4 Be 0.1372 0.6209 0.6209
5 Be 0.6209 0.1372 0.6209
6 Pb 0.0000 0.0000 0.0000

Summary:
**Total moment**: 0.00 μB/cell

Result of the stability comparison: model b is the most stable of them.

Model a:
An optimized crystal structure of Be4Pb5. Source: Alexandria via LeMat-Bulk, functional PBE-GGA.

Lattice parameters (Å, degrees): 8.2837 8.2837 6.7394 90.00 90.00 120.00
Sites, in units of the cell vectors:
1 Pb 0.0000 0.7457 0.2500
2 Pb 0.2543 0.2543 0.2500
3 Pb 0.7457 0.0000 0.2500
4 Pb 0.0000 0.2543 0.7500
5 Pb 0.7457 0.7457 0.7500
6 Pb 0.2543 0.0000 0.7500
7 Pb 0.6667 0.3333 0.0000
8 Pb 0.3333 0.6667 0.5000
9 Pb 0.3333 0.6667 0.0000
10 Pb 0.6667 0.3333 0.5000
11 Be 0.0000 0.0000 0.0000
12 Be 0.0000 0.0000 0.5000
13 Be 0.0000 0.4226 0.2500
14 Be 0.5774 0.5774 0.2500
15 Be 0.4226 0.0000 0.2500
16 Be 0.0000 0.5774 0.7500
17 Be 0.4226 0.4226 0.7500
18 Be 0.5774 0.0000 0.7500

Summary:
**Total moment**: 0.00 μB/cell

Model b:
An optimized crystal structure of Be4Pb5. Source: Alexandria via LeMat-Bulk, functional PBE-GGA.

Lattice parameters (Å, degrees): 7.8002 7.8002 7.8002 93.39 93.39 151.83
Sites, in units of the cell vectors:
1 Be 0.5930 0.0000 0.5930
2 Be 0.4070 0.0000 0.4070
3 Be 0.0000 0.4070 0.4070
4 Be 0.0000 0.5930 0.5930
5 Pb 0.0000 0.0000 0.0000
6 Pb 0.6697 0.3303 0.0000
7 Pb 0.3303 0.6697 0.0000
8 Pb 0.3303 0.3303 0.6605
9 Pb 0.6697 0.6697 0.3395

Summary:
**Total moment**: 0.00 μB/cell

Result of the stability comparison: model b is the most stable of them.